Entry from Alexandria: Mg6VCrO8 after structural relaxation (PBE with a Hubbard U).

The structure in CIF format:
```
data_Mg6VCrO8
_space_group_name_H-M_alt 'P 1'
_space_group_IT_number 1
_space_group_name_Hall 'P 1'
_cell_length_a 4.272
_cell_length_b 4.272
_cell_length_c 8.807
_cell_angle_alpha 90.00
_cell_angle_beta 90.00
_cell_angle_gamma 90.00
loop_
_atom_site_label
_atom_site_type_symbol
_atom_site_fract_x
_atom_site_fract_y
_atom_site_fract_z
_atom_site_occupancy
Mg1 Mg 0.000 0.000 0.000 1
Mg2 Mg 0.000 0.000 0.500 1
Mg3 Mg 0.000 0.500 0.247 1
Mg4 Mg 0.000 0.500 0.753 1
Mg5 Mg 0.500 0.000 0.247 1
Mg6 Mg 0.500 0.000 0.753 1
V1 V 0.500 0.500 0.000 1
Cr1 Cr 0.500 0.500 0.500 1
O1 O 0.000 0.000 0.251 1
O2 O 0.000 0.000 0.749 1
O3 O 0.000 0.500 0.000 1
O4 O 0.000 0.500 0.500 1
O5 O 0.500 0.000 0.000 1
O6 O 0.500 0.000 0.500 1
O7 O 0.500 0.500 0.244 1
O8 O 0.500 0.500 0.756 1
```

Summary:
The total energy comes out at -6.409 eV/atom. The relative energy among the computed polymorphs comes out at 0 meV per atom. The calculation puts the calculated volume at 10.05 Å³/atom.